# PBE MgZn4Pt, optimized geometry
# VASP energy: -2.3935 eV per atom
# DOS(E_F): 1.58 states/eV/f.u.
# total moment: 0.0 μB/cell
# ΔE_f: -271.7 meV/atom
data_MgZn4Pt
_space_group_name_H-M_alt 'C 1 2/m 1'
_space_group_IT_number 12
_cell_length_a 8.784
_cell_length_b 3.936
_cell_length_c 5.549
_cell_angle_alpha 90.00
_cell_angle_beta 105.98
_cell_angle_gamma 90.00
loop_
_space_group_symop_operation_xyz
'x,y,z'
'-x,-y,-z'
'-x,y,-z'
'x,-y,z'
'x+1/2,y+1/2,z'
'-x+1/2,-y+1/2,-z'
'-x+1/2,y+1/2,-z'
'x+1/2,-y+1/2,z'
loop_
_atom_site_label
_atom_site_type_symbol
_atom_site_fract_x
_atom_site_fract_y
_atom_site_fract_z
Mg1 Mg 0.000 0.000 0.000
Zn1 Zn 0.157 0.500 0.816
Zn2 Zn 0.174 0.500 0.338
Pt1 Pt 0.000 0.000 0.500

---

# PBE Ta2TcHPd, optimized geometry
# VASP energy: -8.6900 eV per atom
# DOS(E_F): 5.57 states/eV/f.u.
# total moment: 0.0 μB/cell
data_Ta2TcHPd
_space_group_name_H-M_alt 'P 4/m m m'
_space_group_IT_number 123
_space_group_name_Hall '-P 4 2'
_cell_length_a 4.194
_cell_length_b 4.194
_cell_length_c 3.845
_cell_angle_alpha 90.00
_cell_angle_beta 90.00
_cell_angle_gamma 90.00
loop_
_atom_site_label
_atom_site_type_symbol
_atom_site_fract_x
_atom_site_fract_y
_atom_site_fract_z
Ta1 Ta 0.000 0.500 0.000
Tc1 Tc 0.000 0.000 0.500
H1 H 0.000 0.000 0.000
Pd1 Pd 0.500 0.500 0.500

---

# PBE CsGa2Sn, optimized geometry
# VASP energy: -2.6867 eV per atom
# DOS(E_F): 2.53 states/eV/f.u.
# total moment: 0.0 μB/cell
# ΔE_f: 40.8 meV/atom
data_CsGa2Sn
_space_group_name_H-M_alt 'I 41/a m d'
_space_group_IT_number 141
_cell_length_a 5.620
_cell_length_b 5.620
_cell_length_c 19.297
_cell_angle_alpha 90.00
_cell_angle_beta 90.00
_cell_angle_gamma 90.00
loop_
_space_group_symop_operation_xyz
'x,y,z'
'-x,-y,-z'
'-y+1/4,x+3/4,z+1/4'
'y+1/4,-x+3/4,-z+1/4'
'-x+1/2,-y,z+1/2'
'x+1/2,y,-z+1/2'
'y+1/4,-x+1/4,z+3/4'
'-y+1/4,x+1/4,-z+3/4'
'x,-y,-z'
'-x,y,z'
'-y+1/4,-x+1/4,-z+3/4'
'y+1/4,x+1/4,z+3/4'
'-x+1/2,y,-z+1/2'
'x+1/2,-y,z+1/2'
'y+1/4,x+3/4,-z+1/4'
'-y+1/4,-x+3/4,z+1/4'
'x+1/2,y+1/2,z+1/2'
'-x+1/2,-y+1/2,-z+1/2'
'-y+3/4,x+1/4,z+3/4'
'y+3/4,-x+1/4,-z+3/4'
'-x,-y+1/2,z'
'x,y+1/2,-z'
'y+3/4,-x+3/4,z+1/4'
'-y+3/4,x+3/4,-z+1/4'
'x+1/2,-y+1/2,-z+1/2'
'-x+1/2,y+1/2,z+1/2'
'-y+3/4,-x+3/4,-z+1/4'
'y+3/4,x+3/4,z+1/4'
'-x,y+1/2,-z'
'x,-y+1/2,z'
'y+3/4,x+1/4,-z+3/4'
'-y+3/4,-x+1/4,z+3/4'
loop_
_atom_site_label
_atom_site_type_symbol
_atom_site_fract_x
_atom_site_fract_y
_atom_site_fract_z
Cs1 Cs 0.000 0.250 0.375
Ga1 Ga 0.000 0.000 0.000
Sn1 Sn 0.000 0.250 0.875

---

# PBE BaEuTl2, optimized geometry
# VASP energy: -4.6580 eV per atom
# DOS(E_F): 9.79 states/eV/f.u.
# total moment: 7.1 μB/cell
# ΔE_f: -425.5 meV/atom
data_BaEuTl2
_space_group_name_H-M_alt 'P 4/m m m'
_space_group_IT_number 123
_space_group_name_Hall '-P 4 2'
_cell_length_a 4.124
_cell_length_b 4.124
_cell_length_c 8.344
_cell_angle_alpha 90.00
_cell_angle_beta 90.00
_cell_angle_gamma 90.00
loop_
_atom_site_label
_atom_site_type_symbol
_atom_site_fract_x
_atom_site_fract_y
_atom_site_fract_z
Ba1 Ba 0.000 0.000 0.000
Eu1 Eu 0.000 0.000 0.500
Tl1 Tl 0.500 0.500 0.281

---

# PBE InCuO3, optimized geometry
# VASP energy: -4.8208 eV per atom
# DOS(E_F): 1.29 states/eV/f.u.
# total moment: 0.0 μB/cell
data_InCuO3
_space_group_name_H-M_alt 'P m -3 m'
_space_group_IT_number 221
_space_group_name_Hall '-P 4 2 3'
_cell_length_a 3.744
_cell_length_b 3.744
_cell_length_c 3.744
_cell_angle_alpha 90.00
_cell_angle_beta 90.00
_cell_angle_gamma 90.00
loop_
_atom_site_label
_atom_site_type_symbol
_atom_site_fract_x
_atom_site_fract_y
_atom_site_fract_z
In1 In 0.000 0.000 0.000
Cu1 Cu 0.500 0.500 0.500
O1 O 0.000 0.500 0.500

---

# PBE NbCd2Pt4, optimized geometry
# VASP energy: -4.6038 eV per atom
# DOS(E_F): 5.82 states/eV/f.u.
# total moment: 0.0 μB/cell
# ΔE_f: 548.1 meV/atom
data_NbCd2Pt4
_space_group_name_H-M_alt 'I 4/m m m'
_space_group_IT_number 139
_space_group_name_Hall '-I 4 2'
_cell_length_a 4.970
_cell_length_b 4.970
_cell_length_c 13.441
_cell_angle_alpha 90.00
_cell_angle_beta 90.00
_cell_angle_gamma 90.00
loop_
_atom_site_label
_atom_site_type_symbol
_atom_site_fract_x
_atom_site_fract_y
_atom_site_fract_z
Nb1 Nb 0.000 0.000 0.000
Cd1 Cd 0.000 0.000 0.384
Pt1 Pt 0.000 0.000 0.181
Pt2 Pt 0.000 0.500 0.000